## w
Compound: RbCu3Ir
Source: the Alexandria database
Functional: GGA-PBE
Structure: relaxed

Structure (CIF):
```
data_RbCu3Ir
_chemical_formula_sum 'Rb1 Cu3 Ir1'
_cell_length_a 4.8469
_cell_length_b 4.8469
_cell_length_c 4.8469
_cell_angle_alpha 90.00
_cell_angle_beta 90.00
_cell_angle_gamma 90.00
_symmetry_space_group_name_H-M 'P 1'
_symmetry_Int_Tables_number 1
loop_
_symmetry_equiv_pos_as_xyz
'x,y,z'
loop_
_atom_site_label
_atom_site_type_symbol
_atom_site_fract_x
_atom_site_fract_y
_atom_site_fract_z
_atom_site_occupancy
Rb1 Rb 0.0000 0.0000 0.0000 1
Cu1 Cu 0.0000 0.5000 0.5000 1
Cu2 Cu 0.5000 0.0000 0.5000 1
Cu3 Cu 0.5000 0.5000 0.0000 1
Ir1 Ir 0.5000 0.5000 0.5000 1
```

- Size of the total moment: 0.000 Bohr magnetons per cell
- SG: Pm-3m (221)
- DOS(E_F): 1.0585 states/eV/atom

***

## x
Compound: RbCu3Ir
Source: the Alexandria database
Functional: GGA-PBE
Structure: relaxed

Structure (CIF):
```
data_RbCu3Ir
_chemical_formula_sum 'Rb1 Cu3 Ir1'
_cell_length_a 4.7285
_cell_length_b 4.7285
_cell_length_c 4.7285
_cell_angle_alpha 90.00
_cell_angle_beta 90.00
_cell_angle_gamma 90.00
_symmetry_space_group_name_H-M 'P 1'
_symmetry_Int_Tables_number 1
loop_
_symmetry_equiv_pos_as_xyz
'x,y,z'
loop_
_atom_site_label
_atom_site_type_symbol
_atom_site_fract_x
_atom_site_fract_y
_atom_site_fract_z
_atom_site_occupancy
Rb1 Rb 0.0000 0.0000 0.0000 1
Cu1 Cu 0.0000 0.0000 0.5000 1
Cu2 Cu 0.0000 0.5000 0.0000 1
Cu3 Cu 0.5000 0.0000 0.0000 1
Ir1 Ir 0.5000 0.5000 0.5000 1
```

- Size of the total moment: 0.000 Bohr magnetons per cell
- SG: Pm-3m (221)
- DOS(E_F): 0.5896 states/eV/atom

***

Which is the most stable structure? w is the most stable.

***

## w
Compound: RbCuIr2
Source: the Alexandria database
Functional: GGA-PBE
Structure: relaxed

Structure (CIF):
```
data_RbCuIr2
_chemical_formula_sum 'Rb4 Cu4 Ir8'
_cell_length_a 6.5806
_cell_length_b 6.5806
_cell_length_c 6.5806
_cell_angle_alpha 90.00
_cell_angle_beta 90.00
_cell_angle_gamma 90.00
_symmetry_space_group_name_H-M 'P 1'
_symmetry_Int_Tables_number 1
loop_
_symmetry_equiv_pos_as_xyz
'x,y,z'
loop_
_atom_site_label
_atom_site_type_symbol
_atom_site_fract_x
_atom_site_fract_y
_atom_site_fract_z
_atom_site_occupancy
Rb1 Rb 0.0000 0.0000 0.0000 1
Rb2 Rb 0.0000 0.5000 0.5000 1
Rb3 Rb 0.5000 0.0000 0.5000 1
Rb4 Rb 0.5000 0.5000 0.0000 1
Cu1 Cu 0.0000 0.0000 0.5000 1
Cu2 Cu 0.0000 0.5000 0.0000 1
Cu3 Cu 0.5000 0.0000 0.0000 1
Cu4 Cu 0.5000 0.5000 0.5000 1
Ir1 Ir 0.2500 0.2500 0.2500 1
Ir2 Ir 0.2500 0.2500 0.7500 1
Ir3 Ir 0.2500 0.7500 0.2500 1
Ir4 Ir 0.2500 0.7500 0.7500 1
Ir5 Ir 0.7500 0.2500 0.2500 1
Ir6 Ir 0.7500 0.2500 0.7500 1
Ir7 Ir 0.7500 0.7500 0.2500 1
Ir8 Ir 0.7500 0.7500 0.7500 1
```

- Size of the total moment: 4.493 Bohr magnetons per cell
- SG: Fm-3m (225)
- DOS(E_F): 2.2243 states/eV/atom

***

## x
Compound: RbCuIr2
Source: the Alexandria database
Functional: GGA-PBE
Structure: relaxed

Structure (CIF):
```
data_RbCuIr2
_chemical_formula_sum 'Rb4 Cu4 Ir8'
_cell_length_a 4.7924
_cell_length_b 4.7924
_cell_length_c 17.8571
_cell_angle_alpha 90.00
_cell_angle_beta 90.00
_cell_angle_gamma 90.00
_symmetry_space_group_name_H-M 'P 1'
_symmetry_Int_Tables_number 1
loop_
_symmetry_equiv_pos_as_xyz
'x,y,z'
loop_
_atom_site_label
_atom_site_type_symbol
_atom_site_fract_x
_atom_site_fract_y
_atom_site_fract_z
_atom_site_occupancy
Rb1 Rb 0.0000 0.0000 0.0000 1
Rb2 Rb 0.0000 0.5000 0.2500 1
Rb3 Rb 0.5000 0.0000 0.7500 1
Rb4 Rb 0.5000 0.5000 0.5000 1
Cu1 Cu 0.0000 0.0000 0.5000 1
Cu2 Cu 0.0000 0.5000 0.7500 1
Cu3 Cu 0.5000 0.0000 0.2500 1
Cu4 Cu 0.5000 0.5000 0.0000 1
Ir1 Ir 0.0305 0.2500 0.6250 1
Ir2 Ir 0.2500 0.5305 0.8750 1
Ir3 Ir 0.2500 0.9695 0.3750 1
Ir4 Ir 0.4695 0.2500 0.1250 1
Ir5 Ir 0.5305 0.7500 0.1250 1
Ir6 Ir 0.7500 0.0305 0.3750 1
Ir7 Ir 0.7500 0.4695 0.8750 1
Ir8 Ir 0.9695 0.7500 0.6250 1
```

- Size of the total moment: 0.001 Bohr magnetons per cell
- SG: I-42d (122)
- DOS(E_F): 1.2364 states/eV/atom

***

Which is the most stable structure? x is the most stable.

***

## w
Compound: CuReIr2
Source: the Alexandria database
Functional: GGA-PBE
Structure: relaxed

Structure (CIF):
```
data_CuReIr2
_chemical_formula_sum 'Cu3 Re3 Ir6'
_cell_length_a 2.7386
_cell_length_b 2.7386
_cell_length_c 26.3394
_cell_angle_alpha 90.00
_cell_angle_beta 90.00
_cell_angle_gamma 120.00
_symmetry_space_group_name_H-M 'P 1'
_symmetry_Int_Tables_number 1
loop_
_symmetry_equiv_pos_as_xyz
'x,y,z'
loop_
_atom_site_label
_atom_site_type_symbol
_atom_site_fract_x
_atom_site_fract_y
_atom_site_fract_z
_atom_site_occupancy
Cu1 Cu 0.0000 0.0000 0.0000 1
Cu2 Cu 0.3333 0.6667 0.6667 1
Cu3 Cu 0.6667 0.3333 0.3333 1
Re1 Re 0.0000 0.0000 0.7503 1
Re2 Re 0.3333 0.6667 0.4170 1
Re3 Re 0.6667 0.3333 0.0837 1
Ir1 Ir 0.0000 0.0000 0.2518 1
Ir2 Ir 0.0000 0.0000 0.4980 1
Ir3 Ir 0.3333 0.6667 0.1646 1
Ir4 Ir 0.3333 0.6667 0.9185 1
Ir5 Ir 0.6667 0.3333 0.5852 1
Ir6 Ir 0.6667 0.3333 0.8313 1
```

- Size of the total moment: 0.554 Bohr magnetons per cell
- SG: R3m (160)
- DOS(E_F): 0.8808 states/eV/atom

***

## x
Compound: CuReIr2
Source: the Alexandria database
Functional: GGA-PBE
Structure: relaxed

Structure (CIF):
```
data_CuReIr2
_chemical_formula_sum 'Cu4 Re4 Ir8'
_cell_length_a 6.1177
_cell_length_b 6.1177
_cell_length_c 6.1177
_cell_angle_alpha 90.00
_cell_angle_beta 90.00
_cell_angle_gamma 90.00
_symmetry_space_group_name_H-M 'P 1'
_symmetry_Int_Tables_number 1
loop_
_symmetry_equiv_pos_as_xyz
'x,y,z'
loop_
_atom_site_label
_atom_site_type_symbol
_atom_site_fract_x
_atom_site_fract_y
_atom_site_fract_z
_atom_site_occupancy
Cu1 Cu 0.0000 0.0000 0.0000 1
Cu2 Cu 0.0000 0.5000 0.5000 1
Cu3 Cu 0.5000 0.0000 0.5000 1
Cu4 Cu 0.5000 0.5000 0.0000 1
Re1 Re 0.2500 0.2500 0.2500 1
Re2 Re 0.2500 0.7500 0.7500 1
Re3 Re 0.7500 0.2500 0.7500 1
Re4 Re 0.7500 0.7500 0.2500 1
Ir1 Ir 0.0000 0.0000 0.5000 1
Ir2 Ir 0.0000 0.5000 0.0000 1
Ir3 Ir 0.2500 0.2500 0.7500 1
Ir4 Ir 0.2500 0.7500 0.2500 1
Ir5 Ir 0.5000 0.0000 0.0000 1
Ir6 Ir 0.5000 0.5000 0.5000 1
Ir7 Ir 0.7500 0.2500 0.2500 1
Ir8 Ir 0.7500 0.7500 0.7500 1
```

- Size of the total moment: 0.000 Bohr magnetons per cell
- SG: F-43m (216)
- DOS(E_F): 1.4798 states/eV/atom

***

Which is the most stable structure? w is the most stable.

***

## w
Compound: CuReIr2
Source: the Alexandria database
Functional: GGA-PBE
Structure: relaxed

Structure (CIF):
```
data_CuReIr2
_chemical_formula_sum 'Cu1 Re1 Ir2'
_cell_length_a 2.7483
_cell_length_b 3.7818
_cell_length_c 5.4114
_cell_angle_alpha 90.00
_cell_angle_beta 90.00
_cell_angle_gamma 90.00
_symmetry_space_group_name_H-M 'P 1'
_symmetry_Int_Tables_number 1
loop_
_symmetry_equiv_pos_as_xyz
'x,y,z'
loop_
_atom_site_label
_atom_site_type_symbol
_atom_site_fract_x
_atom_site_fract_y
_atom_site_fract_z
_atom_site_occupancy
Cu1 Cu 0.0000 0.0000 0.0000 1
Re1 Re 0.0000 0.0000 0.5000 1
Ir1 Ir 0.5000 0.5000 0.2481 1
Ir2 Ir 0.5000 0.5000 0.7519 1
```

- Size of the total moment: 0.000 Bohr magnetons per cell
- SG: Pmmm (47)
- DOS(E_F): 0.6342 states/eV/atom

***

## x
Compound: CuReIr2
Source: the Alexandria database
Functional: GGA-PBE
Structure: relaxed

Structure (CIF):
```
data_CuReIr2
_chemical_formula_sum 'Cu4 Re4 Ir8'
_cell_length_a 6.0228
_cell_length_b 6.0228
_cell_length_c 8.8820
_cell_angle_alpha 90.00
_cell_angle_beta 90.00
_cell_angle_gamma 90.00
_symmetry_space_group_name_H-M 'P 1'
_symmetry_Int_Tables_number 1
loop_
_symmetry_equiv_pos_as_xyz
'x,y,z'
loop_
_atom_site_label
_atom_site_type_symbol
_atom_site_fract_x
_atom_site_fract_y
_atom_site_fract_z
_atom_site_occupancy
Cu1 Cu 0.0000 0.0000 0.0000 1
Cu2 Cu 0.0000 0.5000 0.2500 1
Cu3 Cu 0.5000 0.0000 0.7500 1
Cu4 Cu 0.5000 0.5000 0.5000 1
Re1 Re 0.0000 0.0000 0.5000 1
Re2 Re 0.0000 0.5000 0.7500 1
Re3 Re 0.5000 0.0000 0.2500 1
Re4 Re 0.5000 0.5000 0.0000 1
Ir1 Ir 0.2430 0.2500 0.6250 1
Ir2 Ir 0.2500 0.7430 0.8750 1
Ir3 Ir 0.2500 0.7570 0.3750 1
Ir4 Ir 0.2570 0.2500 0.1250 1
Ir5 Ir 0.7430 0.7500 0.1250 1
Ir6 Ir 0.7500 0.2430 0.3750 1
Ir7 Ir 0.7500 0.2570 0.8750 1
Ir8 Ir 0.7570 0.7500 0.6250 1
```

- Size of the total moment: 0.000 Bohr magnetons per cell
- SG: I-42d (122)
- DOS(E_F): 0.2665 states/eV/atom

***

## y
Compound: CuReIr2
Source: the Alexandria database
Functional: GGA-PBE
Structure: relaxed

Structure (CIF):
```
data_CuReIr2
_chemical_formula_sum 'Cu1 Re1 Ir2'
_cell_length_a 4.5642
_cell_length_b 4.5642
_cell_length_c 2.7755
_cell_angle_alpha 90.00
_cell_angle_beta 90.00
_cell_angle_gamma 90.00
_symmetry_space_group_name_H-M 'P 1'
_symmetry_Int_Tables_number 1
loop_
_symmetry_equiv_pos_as_xyz
'x,y,z'
loop_
_atom_site_label
_atom_site_type_symbol
_atom_site_fract_x
_atom_site_fract_y
_atom_site_fract_z
_atom_site_occupancy
Cu1 Cu 0.0000 0.0000 0.0000 1
Re1 Re 0.5000 0.5000 0.0000 1
Ir1 Ir 0.0000 0.5000 0.5000 1
Ir2 Ir 0.5000 0.0000 0.5000 1
```

- Size of the total moment: 0.001 Bohr magnetons per cell
- SG: P4/mmm (123)
- DOS(E_F): 1.1044 states/eV/atom

***

Which is the most stable structure? w is the most stable.